A geometry-optimized Hf2TaNb structure, computed with PBE-GGA.

Cell: 3.4137 3.4137 6.8450 Å, 90.00 90.00 90.00°
Last column: nearest neighbours and their distance in Å.
Space group P4/mmm (No. 123)
Unique sites:
Hf (0.0000, 0.0000, 0.2490) (multiplicity 2)  4 Nb 2.95, 4 Ta 2.96
Ta (0.5000, 0.5000, 0.5000) (multiplicity 1)  8 Hf 2.96
Nb (0.5000, 0.5000, 0.0000) (multiplicity 1)  8 Hf 2.95

## Properties
**Energy of formation from the pure elements**: 142 meV/atom
**Fermi-level density of states**: 1.765 states/eV/atom
**E above lowest polymorph**: 0.0 meV per atom
**Uncorrected energy**: -10.3156 eV per atom
**Spin magnetization**: 0.0 μB/cell